Record 1
A relaxed ErHgI3 crystal, computed with PBE.

Cell lengths 7.6074, 7.6074, 31.9153 Å; angles 90.00, 90.00, 120.00 degrees
Closest atoms and distances in Å follow each position.
Space group R-3 (No. 148, hexagonal axes)
Symmetry-distinct sites (fractional):
Er  0.0000  0.0000  0.1667  6 I 3.02
Hg  0.0000  0.0000  0.3364  6 I 4.40, 3 Hg 4.40
I  0.0001  0.3559  0.5551  2 Er 3.02

Output
energy = -89.80 eV per cell
theoretical density = 4.7 g/cm3
E_form (uncorrected) = -1090 meV per atom
magnetic moment = 0.0 μB/cell

=====

Record 2
A relaxed LaB3Br crystal, computed with PBE.

Cell lengths 5.1896, 5.1896, 5.1896 Å; angles 90.00, 90.00, 90.00 degrees
Closest atoms and distances in Å follow each position.
Space group Pm-3m (No. 221)
Symmetry-distinct sites (fractional):
La  0.0000  0.0000  0.0000  6 B 2.59
B  0.0000  0.0000  0.5000  2 La 2.59
Br  0.5000  0.5000  0.5000  12 B 3.67

Output
energy = -15.04 eV per cell
theoretical density = 3.0 g/cm3
E_form (uncorrected) = 2318 meV per atom
magnetic moment = 0.8 μB/cell

=====

Record 3
A relaxed CaTl2Cl2F2 crystal, computed with PBE.

Cell lengths 4.5450, 4.5450, 16.8028 Å; angles 90.00, 90.00, 90.00 degrees
Closest atoms and distances in Å follow each position.
Space group I4/mmm (No. 139)
Symmetry-distinct sites (fractional):
Ca  0.0000  0.0000  0.0000  4 F 2.27
Tl  0.0000  0.0000  0.3612  5 Cl 3.25, 4 F 3.26
Cl  0.0000  0.0000  0.1676  1 Ca 2.82
F  0.0000  0.5000  0.0000  2 Ca 2.27

Output
energy = -59.10 eV per cell
theoretical density = 5.3 g/cm3
E_form (uncorrected) = -2197 meV per atom
magnetic moment = 0.0 μB/cell

=====

Record 4
A relaxed Ba3Li2Tl2 crystal, computed with PBE.

Cell lengths 4.4705, 5.3836, 22.2644 Å; angles 90.00, 90.00, 90.00 degrees
Closest atoms and distances in Å follow each position.
Space group Immm (No. 71)
Symmetry-distinct sites (fractional):
Ba  0.0000  0.0000  0.0000  4 Tl 3.71, 8 Li 3.82
Ba  0.0000  0.5000  0.1897  2 Li 3.50, 4 Tl 3.72
Li  0.0000  0.0000  0.4310  2 Tl 3.05, 1 Li 3.07
Tl  0.0000  0.5000  0.3670  2 Li 3.05

Output
energy = -31.79 eV per cell
theoretical density = 5.2 g/cm3
ΔH_f (0 K) = -0.223 eV per atom
magnetic moment = 0.0 μB/cell

=====

Record 5
A relaxed MgAl2Pb crystal, computed with PBE.

Cell lengths 9.7953, 3.3036, 5.5969 Å; angles 90.00, 101.77, 90.00 degrees
Closest atoms and distances in Å follow each position.
Space group Cm (No. 8)
Symmetry-distinct sites (fractional):
Mg  0.0000  0.0000  0.0000  5 Al 3.00-3.10, 3 Pb 3.04-3.14, 2 Mg 3.30
Al  0.0186  0.5000  0.5593  3 Al 2.87-2.99, 2 Mg 3.00, 3 Pb 3.13-3.19
Al  0.2555  0.0000  0.7507  3 Al 2.87-2.99, 3 Mg 3.01-3.10, 2 Pb 3.18
Pb  0.2594  0.5000  0.2669  3 Mg 3.04-3.14, 7 Al 3.13-3.32, 2 Pb 3.30

Output
energy = -24.55 eV per cell
theoretical density = 5.3 g/cm3
ΔH_f (0 K) = 0.128 eV per atom
magnetic moment = 0.0 μB/cell

=====

Record 6
A relaxed Ga2Ge2Se crystal, computed with PBE.

Cell lengths 7.4785, 7.4785, 3.6922 Å; angles 90.00, 90.00, 90.00 degrees
Closest atoms and distances in Å follow each position.
Space group P4/mbm (No. 127)
Symmetry-distinct sites (fractional):
Ga  0.1804  0.3196  0.0000  2 Se 2.74, 6 Ge 2.80-2.95
Ge  0.1207  0.6207  0.5000  1 Ge 2.55, 2 Ga 2.80
Se  0.0000  0.0000  0.0000  4 Ga 2.74

Output
energy = -35.97 eV per cell
theoretical density = 5.8 g/cm3
E_form (uncorrected) = 158 meV per atom
magnetic moment = 0.0 μB/cell

=====

Record 7
A relaxed Ir5C4 crystal, computed with PBE.

Cell lengths 5.9856, 5.9856, 6.4950 Å; angles 90.00, 90.00, 120.00 degrees
Closest atoms and distances in Å follow each position.
Space group P6_3/mcm (No. 193)
Symmetry-distinct sites (fractional):
Ir  0.0000  0.2729  0.2500  3 C 1.96-2.12
Ir  0.3333  0.6667  0.0000  6 C 2.45, 6 Ir 2.73
C  0.0000  0.0000  0.0000  6 Ir 2.30
C  0.0000  0.3997  0.7500  3 Ir 1.96-2.12

Output
energy = -142.47 eV per cell
theoretical density = 16.6 g/cm3
ΔH_f (0 K) = 1.107 eV per atom
magnetic moment = 0.0 μB/cell

=====

Record 8
A relaxed Ce3Ir2 crystal, computed with PBE.

Cell lengths 17.3342, 4.1301, 11.0399 Å; angles 90.00, 95.56, 90.00 degrees
Closest atoms and distances in Å follow each position.
Space group C2/m (No. 12)
Symmetry-distinct sites (fractional):
Ce  0.0000  0.0000  0.0000  6 Ir 2.92-2.97
Ce  0.0231  0.0000  0.6458  3 Ir 2.77-2.96
Ce  0.1405  0.5000  0.2530  5 Ir 2.85-2.89
Ce  0.1755  0.5000  0.9112  4 Ir 2.76-2.82
Ce  0.1889  0.5000  0.5948  3 Ir 2.76-2.94
Ir  0.0229  0.5000  0.8130  6 Ce 2.76-2.97
Ir  0.1448  0.0000  0.4369  6 Ce 2.76-2.96
Ir  0.1649  0.0000  0.0829  6 Ce 2.76-2.92

Output
energy = -230.94 eV per cell
theoretical density = 10.2 g/cm3
ΔH_f (0 K) = -0.593 eV per atom
magnetic moment = 11.2 μB/cell

=====

Record 9
A relaxed TaTcNi2C crystal, computed with PBE.

Cell lengths 4.5026, 4.5026, 4.7071 Å; angles 90.00, 90.00, 90.00 degrees
Closest atoms and distances in Å follow each position.
Space group P4/mmm (No. 123)
Symmetry-distinct sites (fractional):
Ta  0.0000  0.0000  0.0000  4 Ni 2.25, 2 Tc 2.35
Tc  0.0000  0.0000  0.5000  2 Ta 2.35
Ni  0.0000  0.5000  0.0000  2 Ta 2.25
C  0.5000  0.5000  0.5000  4 Tc 3.18, 8 Ni 3.26

Output
energy = -29.63 eV per cell
theoretical density = 7.1 g/cm3
ΔH_f (0 K) = 2.676 eV per atom
magnetic moment = 1.0 μB/cell

=====

Record 10
A relaxed Dy3HgTe crystal, computed with PBE.

Cell lengths 11.9556, 4.0376, 12.0425 Å; angles 90.00, 90.00, 90.00 degrees
Closest atoms and distances in Å follow each position.
Space group Pnma (No. 62)
Symmetry-distinct sites (fractional):
Dy  0.0516  0.2500  0.1372  2 Hg 3.03, 3 Te 3.13-3.14
Dy  0.1272  0.7500  0.5500  3 Hg 3.06, 2 Te 3.16
Dy  0.2270  0.2500  0.7762  2 Hg 3.12-3.13, 2 Te 3.26
Hg  0.0152  0.7500  0.3212  7 Dy 3.03-3.13
Te  0.1805  0.7500  0.9837  7 Dy 3.13-3.26

Output
energy = -82.31 eV per cell
theoretical density = 9.3 g/cm3
E_form (uncorrected) = -665 meV per atom
magnetic moment = 0.0 μB/cell

=====

Record 11
A relaxed MnVTe2I crystal, computed with PBE.

Cell lengths 5.9724, 5.9724, 4.9466 Å; angles 90.00, 90.00, 90.00 degrees
Closest atoms and distances in Å follow each position.
Space group P4/mmm (No. 123)
Symmetry-distinct sites (fractional):
Mn  0.0000  0.0000  0.0000  2 I 2.47
V  0.5000  0.5000  0.0000  8 Te 3.88, 4 Mn 4.22
Te  0.0000  0.5000  0.5000  2 I 2.99
I  0.0000  0.0000  0.5000  2 Mn 2.47

Output
energy = -18.31 eV per cell
theoretical density = 4.6 g/cm3
E_form (uncorrected) = 1563 meV per atom
magnetic moment = 4.9 μB/cell

=====

Record 12
A relaxed Mg2IrBr crystal, computed with PBE.

Cell lengths 3.3265, 3.3265, 24.3187 Å; angles 90.00, 90.00, 120.00 degrees
Closest atoms and distances in Å follow each position.
Space group R-3m (No. 166, hexagonal axes)
Symmetry-distinct sites (fractional):
Mg  0.0000  0.0000  0.2426  3 Ir 2.66, 3 Br 2.93
Ir  0.0000  0.0000  0.5000  6 Mg 2.66
Br  0.0000  0.0000  0.0000  6 Mg 2.93

Output
energy = -45.05 eV per cell
theoretical density = 6.9 g/cm3
E_form (uncorrected) = -323 meV per atom
magnetic moment = 0.0 μB/cell